# LaNd2I6

A geometry-optimized LaNd2I6 structure (GGA-PBE, the Alexandria database).

Values from the calculation:
Uncorrected formation energy   -1.27 eV/atom

a = 7.8007 Å, b = 7.8007 Å, c = 8.5561 Å
α = 62.88°, β = 62.88°, γ = 60.00°
Fractional positions:
La 0.3513 0.3513 0.9460
Nd 0.6833 0.6833 0.9500
Nd 0.5189 0.5189 0.4434
I 0.7820 0.4274 0.6907
I 0.0999 0.7820 0.6907
I 0.4274 0.0999 0.6907
I 0.2515 0.6225 0.1972
I 0.9288 0.2515 0.1972
I 0.6225 0.9288 0.1972